Entry 1:
A relaxed structure of CePr8, computed with PBE.

Cell: 5.2257 8.2629 8.2629 Å, 84.26 71.57 71.57°
Positions (direct):
Pr1 0.6635 0.0000 0.6730
Pr2 0.3365 0.0000 0.3270
Pr3 0.6693 0.3307 0.3307
Pr4 0.6635 0.6730 0.0000
Pr5 0.0000 0.3307 0.6693
Pr6 0.3307 0.6693 0.6693
Ce1 0.0000 0.0000 0.0000
Pr7 0.3365 0.3270 0.0000
Pr8 0.0000 0.6693 0.3307

Output
DOS(E_F): 18.56 states/eV per cell
ΔE_f: 0.0427 eV/atom



Entry 2:
A relaxed structure of PmOF3, computed with PBE.

Cell: 7.3397 8.2793 8.2508 Å, 113.43 90.00 90.00°
Positions (direct):
Pm1 0.2500 0.5177 0.4824
F1 0.5252 0.5924 0.3995
F2 0.2508 0.7781 0.7219
O1 0.9163 0.5028 0.9970
F3 0.7508 0.7219 0.7781
F4 0.4748 0.4076 0.6005
F5 0.0252 0.4002 0.5931
Pm2 0.7500 0.4823 0.5176
F6 0.5252 0.0998 0.9069
F7 0.0252 0.9076 0.1005
F8 0.7492 0.2219 0.2781
F9 0.4748 0.9002 0.0931
F10 0.9748 0.0924 0.8995
F11 0.9748 0.5998 0.4069
O2 0.5837 0.0028 0.4970
O3 0.0837 0.4972 0.0030
Pm3 0.2500 0.0177 0.9824
Pm4 0.7500 0.9823 0.0176
O4 0.4163 0.9972 0.5030
F12 0.2492 0.2781 0.2219

Output
DOS(E_F): 0.00 states/eV per cell
Total DFT energy (no corrections): -124.36 eV for the cell shown



Entry 3:
A relaxed structure of Mg3Tl2Zn, computed with PBE.

Cell: 3.4019 3.4019 11.8473 Å, 90.00 90.00 90.00°
Positions (direct):
Mg1 0.0000 0.0000 0.3635
Zn1 0.5000 0.5000 0.5000
Tl1 0.5000 0.5000 0.1812
Tl2 0.5000 0.5000 0.8188
Mg2 0.0000 0.0000 0.0000
Mg3 0.0000 0.0000 0.6365

Output
DOS(E_F): 1.77 states/eV per cell
ΔE_f: -0.0351 eV/atom



Entry 4:
A relaxed structure of Ta2Ni3Pt2, computed with PBE.

Cell: 3.6713 6.2028 8.1882 Å, 35.29 102.95 90.00°
Positions (direct):
Ta1 0.4202 0.8974 0.8405
Pt1 0.8623 0.6853 0.7246
Ni1 0.7109 0.4560 0.4218
Ni2 0.2891 0.5440 0.5782
Ni3 0.0000 0.0000 0.0000
Ta2 0.5798 0.1026 0.1595
Pt2 0.1377 0.3147 0.2754

Output
DOS(E_F): 3.33 states/eV per cell
E above lowest polymorph: 0.000 eV per atom
ΔE_f: -0.5303 eV/atom



Entry 5:
A relaxed structure of YSc2Si, computed with PBE.

Cell: 8.2121 8.2121 6.5200 Å, 50.97 50.97 90.00°
Positions (direct):
Y1 0.0000 0.0000 0.0000
Si1 0.5000 0.5000 0.0000
Sc1 0.8750 0.8139 0.7500
Sc2 0.5639 0.1250 0.2500
Sc3 0.3750 0.4361 0.7500
Si2 0.2500 0.7500 0.5000
Y2 0.7500 0.2500 0.5000
Sc4 0.1861 0.6250 0.2500

Output
DOS(E_F): 8.55 states/eV per cell
Total DFT energy (no corrections): -49.57 eV for the cell shown



Entry 6:
A relaxed structure of Li2MgPt2O6, computed with PBE.

Cell: 5.3525 5.3525 5.2575 Å, 100.23 100.23 120.57°
Positions (direct):
O1 0.5788 0.9300 0.2806
O2 0.4212 0.0700 0.7194
O3 0.7476 0.7476 0.7160
Li1 0.8269 0.1731 0.0000
Mg1 0.0000 0.0000 0.5000
O4 0.9300 0.5788 0.2806
Li2 0.1731 0.8269 0.0000
O5 0.2524 0.2524 0.2840
Pt1 0.6642 0.3358 0.5000
Pt2 0.3358 0.6642 0.5000
O6 0.0700 0.4212 0.7194

Output
DOS(E_F): 0.00 states/eV per cell
Total DFT energy (no corrections): -62.13 eV for the cell shown



Entry 7:
A relaxed structure of Y3BiMo, computed with PBE.

Cell: 5.3622 5.3622 5.3622 Å, 90.00 90.00 90.00°
Positions (direct):
Bi1 0.5000 0.5000 0.5000
Y1 0.0000 0.0000 0.5000
Mo1 0.0000 0.0000 0.0000
Y2 0.0000 0.5000 0.0000
Y3 0.5000 0.0000 0.0000

Output
DOS(E_F): 2.78 states/eV per cell
E above lowest polymorph: 0.000 eV per atom
ΔE_f: 0.2023 eV/atom



Entry 8:
A relaxed structure of PbBrNF2, computed with PBE.

Cell: 4.9452 4.9452 3.8306 Å, 90.00 90.00 90.00°
Positions (direct):
Br1 0.0000 0.0000 0.0000
F1 0.5000 0.0000 0.0000
F2 0.0000 0.5000 0.0000
Pb1 0.5000 0.5000 0.5000
N1 0.0000 0.0000 0.5000

Output
DOS(E_F): 2.44 states/eV per cell
E above lowest polymorph: 0.229 eV per atom